(1)
CeSiRh | meta-GGA SCAN | PBEsol geometry

extended XYZ file:
```
12
Lattice="6.2039 0.0000 0.0000 0.0000 6.2039 0.0000 0.0000 0.0000 6.2039" Properties=species:S:1:pos:R:3 pbc="T T T"
Ce 0.7889 0.7889 0.7889
Ce 2.3131 5.4150 3.8908
Ce 3.8908 2.3131 5.4150
Ce 5.4150 3.8908 2.3131
Si 1.0474 2.0545 4.1494
Si 2.0545 4.1494 1.0474
Si 4.1494 1.0474 2.0545
Si 5.1564 5.1564 5.1564
Rh 0.3908 3.4927 5.8131
Rh 2.7112 2.7112 2.7112
Rh 3.4927 5.8131 0.3908
Rh 5.8131 0.3908 3.4927
```

## Properties
Space-group type ... P2_13
E_tot ... -365.18 eV per cell
Theoretical density ... 7.5 g/cm3
E_form (uncorrected) ... -0.981 eV/atom


(2)
Ce2Si5Rh3 | meta-GGA SCAN | PBEsol geometry

extended XYZ file:
```
20
Lattice="-4.9209 5.7617 2.8844 4.9209 -5.7617 2.8844 4.9209 5.7617 -2.8844" Properties=species:S:1:pos:R:3 pbc="T T T"
Ce 2.2794 1.5213 0.0000
Ce 2.2794 -1.5213 2.8844
Ce 2.6415 7.2830 0.0000
Ce 2.6415 4.2404 2.8844
Si 4.9209 -2.5862 1.4422
Si 6.4323 1.2314 0.0000
Si 0.0000 0.0000 1.4422
Si 1.5114 4.5303 0.0000
Si 4.9209 2.5862 1.4422
Si 0.0000 3.1755 1.4422
Si 3.4095 1.2314 2.8844
Si 0.0000 0.0000 4.3266
Si -1.5114 4.5303 2.8844
Si 0.0000 8.3479 1.4422
Rh 3.8236 -4.1634 2.8844
Rh 4.9209 0.0000 1.4422
Rh 3.8236 4.1634 0.0000
Rh 1.0974 1.5983 2.8844
Rh 0.0000 5.7617 1.4422
Rh 1.0974 9.9252 0.0000
```

## Properties
Space-group type ... Ibam
E_tot ... -501.97 eV per cell
Theoretical density ... 7.4 g/cm3
E_form (uncorrected) ... -1.047 eV/atom


(3)
Ce4SiRh12 | meta-GGA SCAN | PBEsol geometry

extended XYZ file:
```
17
Lattice="-4.0828 4.0828 4.0828 4.0828 -4.0828 4.0828 4.0828 4.0828 -4.0828" Properties=species:S:1:pos:R:3 pbc="T T T"
Ce 2.0414 2.0414 -2.0414
Ce 2.0414 -2.0414 2.0414
Ce -2.0414 2.0414 2.0414
Ce 2.0414 2.0414 2.0414
Si 0.0000 0.0000 0.0000
Rh 2.2866 0.0000 0.0000
Rh 5.8791 0.0000 0.0000
Rh 4.0828 2.0414 0.0000
Rh 4.0828 0.0000 2.0414
Rh 0.0000 2.2866 0.0000
Rh 0.0000 0.0000 2.2866
Rh 2.0414 4.0828 0.0000
Rh 2.0414 0.0000 4.0828
Rh 0.0000 5.8791 0.0000
Rh 0.0000 0.0000 5.8791
Rh 0.0000 4.0828 2.0414
Rh 0.0000 2.0414 4.0828
```

## Properties
Space-group type ... Im-3m
E_tot ... -606.66 eV per cell
Theoretical density ... 11.1 g/cm3
E_form (uncorrected) ... -0.772 eV/atom


E_form (uncorrected) of number 1 (CeSiRh)? -0.981 eV/atom


Which value of E_tot does entry 2 give? -501.97 eV per cell


Number 2 is which compound? Ce2Si5Rh3


Which of these has the lowest E_tot? Ce4SiRh12